Computed, not measured: Pm6Nd2Dy after structural relaxation at the GGA-PBE level of DFT.

a = 6.135 Å, b = 10.362 Å, c = 10.362 Å
α = 69.68°, β = 84.30°, γ = 84.30°
Positions (direct):
1 Pm 0.456 0.673 0.451
2 Pm 0.044 0.549 0.327
3 Pm 0.544 0.327 0.549
4 Pm 0.956 0.451 0.673
5 Pm 0.622 0.120 0.340
6 Pm 0.878 0.660 0.880
7 Pm 0.378 0.880 0.660
8 Pm 0.122 0.340 0.120
9 Pm 0.286 0.787 0.006
10 Pm 0.214 0.994 0.213
11 Pm 0.714 0.213 0.994
12 Pm 0.786 0.006 0.787
13 Nd 0.417 0.511 0.818
14 Nd 0.083 0.182 0.489
15 Nd 0.583 0.489 0.182
16 Nd 0.917 0.818 0.511
17 Dy 0.250 0.147 0.853
18 Dy 0.750 0.853 0.147

Properties
* E: -4.66 eV/atom
* size of the total moment: 0.00 Bohr magnetons per cell
* E_form: 0.74 eV/f.u.
* D(E_F): 12.0 states/eV/f.u.